# Mn3Cr2Te3O16

Crystalline Mn3Cr2Te3O16 at its relaxed geometry (GGA+U, the Alexandria database).

Output
Space group ... Cm
DOS at the Fermi energy ... 1.3 states/eV per cell
Magnetic moment ... 0.79 μB/atom
Crystal system ... monoclinic
Total energy ... -6.51 eV/atom

POSCAR file:
```
Mn3Cr2Te3O16
1.0
5.110 -3.667 -0.600
5.212 0.770 3.488
-4.028 -5.569 6.143
Mn Cr Te O
3 2 3 16
Direct
0.828 0.828 0.210
0.666 0.165 0.702
0.165 0.666 0.702
0.677 0.677 0.499
0.352 0.352 0.971
0.829 0.329 0.215
0.329 0.829 0.215
0.169 0.169 0.714
0.850 0.349 0.603
0.523 0.523 0.343
0.641 0.641 0.095
0.012 0.012 0.326
0.012 0.012 0.803
0.349 0.850 0.603
0.951 0.497 0.339
0.497 0.951 0.339
0.150 0.150 0.106
0.841 0.841 0.592
0.467 0.046 0.848
0.046 0.467 0.848
0.320 0.320 0.603
0.672 0.182 0.106
0.471 0.471 0.829
0.182 0.672 0.106
```